Here is La2Al3SiPd4 after structural relaxation from Alexandria. Energies are from PBE.

The structure in extended XYZ format:
```
10
Lattice="4.370 0.000 0.000 0.000 4.370 0.000 0.000 0.000 10.246" Properties=species:S:1:pos:R:3 pbc="T T T"
La 0.000 2.185 7.607
Al 0.000 2.185 1.285
Pd 0.000 2.185 3.845
Al 0.000 0.000 5.123
Pd 2.185 2.185 0.000
Si 2.185 2.185 5.123
Pd 0.000 0.000 0.000
Pd 2.185 0.000 6.401
La 2.185 0.000 2.638
Al 2.185 0.000 8.961
```

Results
DOS(E_F): 6.5 states/eV/cell
E_form (uncorrected): -84 kJ per mole of atoms